Entry 1:
Below is crystalline LiCuS2 at its relaxed geometry, with properties calculated at the PBE level.

```
LiCuS2
1.0
-0.2299 -3.7718 1.8810
-0.7084 -3.8730 -1.5022
4.9140 -3.5936 -0.5800
S Cu Li
2 1 1
Cartesian
1.0346 -1.8082 -0.1070
2.9311 -9.4945 -0.1280
1.9828 -5.6501 -0.1177
-0.4741 -3.8565 0.1740
```

Calculated values
- DOS at the Fermi energy: 0.706 states/eV per cell
- Crystal system: triclinic
- Space group: P-1, No. 2
- Volume: 17.68 Å³ per atom
- E: -4.087 eV per atom

=====

Entry 2:
Below is crystalline Li2Cu4S3 at its relaxed geometry, with properties calculated at the PBE level.

```
Li2Cu4S3
1.0
-2.0065 -5.1664 2.8224
-2.7633 -2.7428 -6.9852
9.4725 -4.7148 -1.8960
Li Cu S
8 16 12
Cartesian
0.0000 0.0000 0.0000
4.7363 -2.3574 -0.9480
3.0354 -9.6969 -6.4308
0.6130 -3.4555 -3.5811
-2.3849 -3.9546 -2.0814
2.3513 -6.3120 -3.0294
4.0897 -9.1684 -2.4777
1.6673 -2.9270 0.3720
-0.8669 -3.8762 0.5759
2.3984 -5.5015 -0.0776
4.6813 -9.0995 0.3069
-0.1295 -6.7383 0.8726
5.3297 -6.7907 -2.1952
0.4204 -4.6830 -1.4910
4.2691 -4.2495 -3.3089
7.5344 -5.8747 -3.9625
-2.8317 -6.7492 -2.0963
0.4335 -8.3745 -2.7499
4.2823 -7.9409 -4.5679
-0.6271 -5.8332 -3.8637
4.8322 -5.8856 -6.9314
0.0213 -3.5244 -6.3657
2.3042 -7.1225 -5.9812
5.5695 -8.7477 -6.6348
-1.8076 -7.5776 -5.4240
3.4476 -7.3676 -0.7219
6.3826 -8.8285 -1.3094
-0.3082 -2.4497 -1.2428
2.6267 -3.9106 -1.8303
5.2889 -6.0049 -4.3529
-0.5863 -6.6190 -1.7059
2.0759 -8.7134 -4.2285
5.0109 -10.1742 -4.8160
-1.6799 -3.7955 -4.7495
1.2551 -5.2563 -5.3369
6.5103 -5.0463 -0.6348
```

Calculated values
- Crystal system: orthorhombic
- Space group: Pnma, No. 62
- Offset from the most stable computed form: 0.059 eV/atom
- Volume: 14.85 Å³ per atom

=====

Entry 3:
Below is crystalline LiCu4S3 at its relaxed geometry, with properties calculated at the PBE level.

```
LiCu4S3
1.0
3.7779 0.0000 0.0000
0.0000 3.7779 0.0000
0.0000 0.0000 8.9382
Li Cu S
1 4 3
Cartesian
0.0000 0.0000 4.4691
0.0000 1.8889 1.5647
0.0000 1.8889 7.3736
1.8889 0.0000 7.3736
1.8889 0.0000 1.5647
0.0000 0.0000 0.0000
1.8889 1.8889 2.8869
1.8889 1.8889 6.0513
```

Calculated values
- DOS at the Fermi energy: 3.464 states/eV per cell
- Crystal system: tetragonal
- Space group: P4/mmm, No. 123
- Volume: 15.95 Å³ per atom
- E: -4.139 eV per atom

=====

Entry 4:
Below is crystalline LiCu2S2 at its relaxed geometry, with properties calculated at the PBE level.

```
LiCu2S2
1.0
-3.2009 -1.5761 -0.9313
1.2377 -6.7127 7.1068
-4.3836 5.4242 5.8869
Li Cu S
4 8 8
Cartesian
-4.1297 2.7198 5.9409
-3.4000 -1.5301 3.3256
-2.2171 -5.5845 6.1215
-2.9467 -1.3346 8.7367
-4.4733 -0.9126 5.9696
-1.1589 -0.2456 0.7487
-1.8734 -1.9521 6.0928
-5.1879 -2.6190 11.3136
-3.0494 1.8970 3.6204
-2.0743 -3.6845 2.4150
-3.2973 -4.7617 8.4419
-4.2725 0.8198 9.6474
-5.3170 2.2700 3.4829
-0.9807 -2.6048 4.1291
-1.0297 -5.1347 8.5794
-5.3660 -0.2599 7.9332
-2.6950 0.2568 5.1784
-2.2940 -2.2108 0.6762
-3.6517 -3.1214 6.8840
-4.0527 -0.6538 11.3862
```

Calculated values
- DOS at the Fermi energy: 11.630 states/eV per cell
- Crystal system: orthorhombic
- Space group: Pnma, No. 62
- Volume: 16.58 Å³ per atom
- E: -4.151 eV per atom

=====

Entry 5:
Below is crystalline LiCu3S2 at its relaxed geometry, with properties calculated at the PBE level.

```
LiCu3S2
1.0
3.7283 0.0000 0.0000
-1.8641 5.9387 -3.8709
0.0000 -0.1692 8.6517
Li Cu S
2 6 4
Cartesian
0.0000 1.6767 1.4806
1.8641 4.0928 3.3003
1.8641 2.2176 -1.2704
0.0000 0.8578 5.7446
0.0000 4.6735 0.9858
1.8641 1.0960 3.7951
1.8641 4.9117 -0.9637
0.0000 3.5520 6.0513
1.8641 -0.0819 6.7842
0.0000 5.8514 -2.0033
0.0000 2.4681 4.1209
1.8641 3.3014 0.6599
```

Calculated values
- DOS at the Fermi energy: 0.615 states/eV per cell
- Crystal system: monoclinic
- Space group: C2/m, No. 12
- Volume: 15.76 Å³ per atom
- E: -4.160 eV per atom

=====

Entry 6:
Below is crystalline LiCu2S2 at its relaxed geometry, with properties calculated at the PBE level.

```
LiCu2S2
1.0
-2.2515 -4.5034 4.4669
-3.8421 -2.8032 -4.7627
2.4225 -1.9886 -0.7838
S Cu Li
4 4 2
Cartesian
-3.8930 -3.7660 -2.4771
-4.4532 -5.6050 0.4574
-2.2007 -3.5406 2.1813
-1.6405 -1.7015 -0.7532
-1.5274 -3.3762 -2.8129
-3.5433 -6.2773 -1.6829
-2.1438 -5.9190 1.7333
-0.1279 -3.0179 0.6033
0.0000 0.0000 0.0000
-3.0468 -3.6533 -0.1479
```

Calculated values
- DOS at the Fermi energy: 6.129 states/eV per cell
- Crystal system: tetragonal
- Space group: P4/mbm, No. 127
- Volume: 14.64 Å³ per atom
- E: -3.926 eV per atom

=====

Magnetization readings, ordered: 0.00 0.00 0.00 0.00 0.00 0.00 μB per cell